An optimized crystal structure of YSc3Al, computed with PBE-GGA.

The structure in POSCAR format:
```
YSc3Al
1.0
5.216 0.000 0.000
0.000 5.216 0.000
0.000 0.000 5.216
Y Sc Al
1 3 1
Direct
0.000 0.000 0.000
0.000 0.500 0.500
0.500 0.000 0.500
0.500 0.500 0.000
0.500 0.500 0.500
```

Output
* DFT formation energy: 0.28 eV/atom
* DOS at the Fermi energy: 8.2 states/eV per cell


An optimized crystal structure of PmSm2Sb, computed with PBE-GGA.

The structure in POSCAR format:
```
PmSm2Sb
1.0
4.641 0.000 0.000
0.000 23.350 0.000
0.000 0.000 4.606
Pm Sm Sb
4 8 4
Direct
0.000 0.195 0.250
0.000 0.805 0.750
0.500 0.305 0.750
0.500 0.695 0.250
0.000 0.066 0.750
0.000 0.439 0.750
0.000 0.561 0.250
0.000 0.934 0.250
0.500 0.061 0.250
0.500 0.434 0.250
0.500 0.566 0.750
0.500 0.939 0.750
0.000 0.332 0.250
0.000 0.668 0.750
0.500 0.168 0.750
0.500 0.832 0.250
```

Output
* DOS at the Fermi energy: 19.2 states/eV per cell
* total energy: -5.1532 eV per atom


An optimized crystal structure of Y2OsI, computed with PBE-GGA.

The structure in POSCAR format:
```
Y2OsI
1.0
7.283 0.000 0.000
0.000 7.283 0.000
0.000 0.000 7.283
Y Os I
8 4 4
Direct
0.250 0.250 0.250
0.250 0.250 0.750
0.250 0.750 0.250
0.250 0.750 0.750
0.750 0.250 0.250
0.750 0.250 0.750
0.750 0.750 0.250
0.750 0.750 0.750
0.000 0.000 0.000
0.000 0.500 0.500
0.500 0.000 0.500
0.500 0.500 0.000
0.000 0.000 0.500
0.000 0.500 0.000
0.500 0.000 0.000
0.500 0.500 0.500
```

Output
* DOS at the Fermi energy: 18.8 states/eV per cell
* total energy: -6.4061 eV per atom


An optimized crystal structure of Ho4GeTe2Pt, computed with PBE-GGA.

The structure in POSCAR format:
```
Ho4GeTe2Pt
1.0
7.211 0.000 0.000
0.000 4.201 0.000
-2.456 0.000 7.157
Ho Ge Te Pt
4 1 2 1
Direct
0.234 0.000 0.214
0.259 0.500 0.780
0.741 0.500 0.220
0.766 0.000 0.786
0.500 0.000 0.000
0.000 0.000 0.500
0.500 0.500 0.500
0.000 0.500 0.000
```

Output
* DOS at the Fermi energy: 5.0 states/eV per cell
* total energy: -5.5904 eV per atom


An optimized crystal structure of TlSiRu2, computed with PBE-GGA.

The structure in POSCAR format:
```
TlSiRu2
1.0
6.391 0.000 0.000
0.000 6.391 0.000
0.000 0.000 6.391
Tl Si Ru
4 4 8
Direct
0.000 0.000 0.000
0.000 0.500 0.500
0.500 0.000 0.500
0.500 0.500 0.000
0.250 0.250 0.250
0.250 0.750 0.750
0.750 0.250 0.750
0.750 0.750 0.250
0.000 0.000 0.500
0.000 0.500 0.000
0.250 0.250 0.750
0.250 0.750 0.250
0.500 0.000 0.000
0.500 0.500 0.500
0.750 0.250 0.250
0.750 0.750 0.750
```

Output
* DOS at the Fermi energy: 16.4 states/eV per cell
* total energy: -5.9155 eV per atom


An optimized crystal structure of Ac2AlAg4Ge3, computed with PBE-GGA.

The structure in POSCAR format:
```
Ac2AlAg4Ge3
1.0
4.507 0.000 0.000
0.000 4.507 0.000
0.000 0.000 11.094
Ac Al Ag Ge
2 1 4 3
Direct
0.000 0.500 0.246
0.500 0.000 0.754
0.000 0.000 0.500
0.000 0.000 0.000
0.000 0.500 0.629
0.500 0.000 0.371
0.500 0.500 0.000
0.000 0.500 0.864
0.500 0.000 0.136
0.500 0.500 0.500
```

Output
* DFT formation energy: -0.39 eV/atom
* DOS at the Fermi energy: 4.4 states/eV per cell


An optimized crystal structure of Ba2GaF8, computed with PBE-GGA.

The structure in POSCAR format:
```
Ba2GaF8
1.0
4.905 0.000 0.000
-0.433 4.976 0.000
-1.988 -1.874 7.035
Ba Ga F
2 1 8
Direct
0.200 0.169 0.311
0.800 0.831 0.689
0.500 0.500 0.000
0.143 0.272 0.961
0.211 0.736 0.491
0.322 0.745 0.862
0.481 0.713 0.245
0.519 0.287 0.755
0.678 0.255 0.138
0.789 0.264 0.509
0.857 0.728 0.039
```

Output
* DOS at the Fermi energy: 8.3 states/eV per cell
* total energy: -5.0395 eV per atom


An optimized crystal structure of BaPaCuO6, computed with PBE-GGA.

The structure in POSCAR format:
```
BaPaCuO6
1.0
-3.590 3.742 4.712
3.590 -3.742 4.712
3.590 3.742 -4.712
Ba Pa Cu O
2 2 2 12
Direct
0.338 0.088 0.250
0.662 0.912 0.750
0.000 0.500 0.500
0.500 0.500 0.000
0.000 0.000 0.500
0.000 0.500 0.000
0.045 0.335 0.161
0.045 0.884 0.710
0.077 0.327 0.750
0.326 0.116 0.661
0.326 0.665 0.210
0.370 0.620 0.750
0.630 0.380 0.250
0.674 0.335 0.790
0.674 0.884 0.339
0.923 0.673 0.250
0.955 0.116 0.290
0.955 0.665 0.839
```

Output
* DOS at the Fermi energy: 11.2 states/eV per cell
* total energy: -7.0857 eV per atom


Question: Which of these has the highest DOS at the Fermi energy?
Answer: PmSm2Sb